## NiPF2 (PBE with a Hubbard U)

Data for an optimized crystal structure of NiPF2.

abc: 7.6748 7.6748 7.6748
angles: 20.10 20.10 20.10
Closest atoms and distances in Å follow each position.
Fractional positions:
Ni: 0.0000 0.0000 0.0000  2 F 1.92
P: 0.5000 0.5000 0.5000  6 F 2.40, 6 P 2.68
F: 0.0853 0.0853 0.0853  1 Ni 1.92
F: 0.9147 0.9147 0.9147  1 Ni 1.92

Values from the calculation:
Space group: R-3m
Calculated density: 4.5 g cm⁻³
Energy above the most stable polymorph in this dataset: 0.289 eV/atom
Final energy: -13.83 eV/cell